VASP calculation (PBE) on a relaxed structure of LaPHS2.

Its total DFT energy (no corrections) is -3.83 eV per atom. The total magnetization is 4.2 μB per formula unit.

It has space group P4/mmm (No. 123), with a = 5.579 Å, b = 5.579 Å, c = 6.018 Å, α = 90.00°, β = 90.00° and γ = 90.00°. The asymmetric unit holds La at (0.000, 0.000, 0.000), P at (0.000, 0.000, 0.500), H at (0.500, 0.500, 0.500) and S at (0.000, 0.500, 0.000).